Record 1
Density functional theory data (PBE) for an optimized crystal structure of TbAg3Se3.

CIF file:
```
data_TbAg3Se3
_space_group_name_H-M_alt 'R -3'
_space_group_IT_number 148
_space_group_name_Hall '-R 3'
_cell_length_a 7.5178
_cell_length_b 7.5178
_cell_length_c 20.7904
_cell_angle_alpha 90.00
_cell_angle_beta 90.00
_cell_angle_gamma 120.00
loop_
_atom_site_label
_atom_site_type_symbol
_atom_site_fract_x
_atom_site_fract_y
_atom_site_fract_z
Tb1 Tb 0.0000 0.0000 0.1667
Ag1 Ag 0.0043 0.3468 0.3735
Se1 Se 0.0007 0.6656 0.4275
```

Computed properties:
**Calculated volume**: 1017.60 Å³/cell
**Calculated total energy**: -4.0901 eV/atom
**Formation energy (no corrections)**: -713 meV/atom

***

Record 2
Density functional theory data (PBE) for an optimized crystal structure of Mg2Ge2Pd.

CIF file:
```
data_Mg2Ge2Pd
_space_group_name_H-M_alt 'P 4/m b m'
_space_group_IT_number 127
_space_group_name_Hall '-P 4 2ab'
_cell_length_a 7.5568
_cell_length_b 7.5568
_cell_length_c 3.2795
_cell_angle_alpha 90.00
_cell_angle_beta 90.00
_cell_angle_gamma 90.00
loop_
_atom_site_label
_atom_site_type_symbol
_atom_site_fract_x
_atom_site_fract_y
_atom_site_fract_z
Mg1 Mg 0.1372 0.3628 0.0000
Ge1 Ge 0.1672 0.6672 0.5000
Pd1 Pd 0.0000 0.0000 0.0000
```

Computed properties:
**Calculated volume**: 187.28 Å³/cell
**Energy of formation from the pure elements**: -2 kJ/mol of formula units
**Calculated total energy**: -3.5281 eV/atom
**D(E_F)**: 0.50 states/eV/atom

***

Record 3
Density functional theory data (PBE) for an optimized crystal structure of YAgHgPb.

CIF file:
```
data_YAgHgPb
_space_group_name_H-M_alt 'F -4 3 m'
_space_group_IT_number 216
_space_group_name_Hall 'F -4 2 3'
_cell_length_a 7.3278
_cell_length_b 7.3278
_cell_length_c 7.3278
_cell_angle_alpha 90.00
_cell_angle_beta 90.00
_cell_angle_gamma 90.00
loop_
_atom_site_label
_atom_site_type_symbol
_atom_site_fract_x
_atom_site_fract_y
_atom_site_fract_z
Y1 Y 0.0000 0.0000 0.0000
Ag1 Ag 0.2500 0.2500 0.2500
Hg1 Hg 0.2500 0.2500 0.7500
Pb1 Pb 0.0000 0.0000 0.5000
```

Computed properties:
**Calculated volume**: 393.48 Å³/cell
**Energy of formation from the pure elements**: -95 kJ/mol of formula units
**Calculated total energy**: -3.5785 eV/atom
**D(E_F)**: 0.32 states/eV/atom

***

Record 4
Density functional theory data (PBE) for an optimized crystal structure of RbNbZn2.

CIF file:
```
data_RbNbZn2
_space_group_name_H-M_alt 'I 41/a m d'
_space_group_IT_number 141
_cell_length_a 5.3532
_cell_length_b 5.3532
_cell_length_c 18.9501
_cell_angle_alpha 90.00
_cell_angle_beta 90.00
_cell_angle_gamma 90.00
loop_
_space_group_symop_operation_xyz
'x,y,z'
'-x,-y,-z'
'-y+1/4,x+3/4,z+1/4'
'y+1/4,-x+3/4,-z+1/4'
'-x+1/2,-y,z+1/2'
'x+1/2,y,-z+1/2'
'y+1/4,-x+1/4,z+3/4'
'-y+1/4,x+1/4,-z+3/4'
'x,-y,-z'
'-x,y,z'
'-y+1/4,-x+1/4,-z+3/4'
'y+1/4,x+1/4,z+3/4'
'-x+1/2,y,-z+1/2'
'x+1/2,-y,z+1/2'
'y+1/4,x+3/4,-z+1/4'
'-y+1/4,-x+3/4,z+1/4'
'x+1/2,y+1/2,z+1/2'
'-x+1/2,-y+1/2,-z+1/2'
'-y+3/4,x+1/4,z+3/4'
'y+3/4,-x+1/4,-z+3/4'
'-x,-y+1/2,z'
'x,y+1/2,-z'
'y+3/4,-x+3/4,z+1/4'
'-y+3/4,x+3/4,-z+1/4'
'x+1/2,-y+1/2,-z+1/2'
'-x+1/2,y+1/2,z+1/2'
'-y+3/4,-x+3/4,-z+1/4'
'y+3/4,x+3/4,z+1/4'
'-x,y+1/2,-z'
'x,-y+1/2,z'
'y+3/4,x+1/4,-z+3/4'
'-y+3/4,-x+1/4,z+3/4'
loop_
_atom_site_label
_atom_site_type_symbol
_atom_site_fract_x
_atom_site_fract_y
_atom_site_fract_z
Rb1 Rb 0.0000 0.2500 0.3750
Nb1 Nb 0.0000 0.2500 0.8750
Zn1 Zn 0.0000 0.0000 0.0000
```

Computed properties:
**Calculated volume**: 543.05 Å³/cell
**Energy of formation from the pure elements**: 359 kJ/mol of formula units
**Calculated total energy**: -2.4670 eV/atom
**Excess energy over the best structure of this formula in the dataset**: 0 meV/atom
**D(E_F)**: 0.75 states/eV/atom

***

Record 5
Density functional theory data (PBE) for an optimized crystal structure of Ba3ZnIrRuO9.

CIF file:
```
data_Ba3ZnIrRuO9
_space_group_name_H-M_alt 'P -3 m 1'
_space_group_IT_number 164
_space_group_name_Hall '-P 3 2"'
_cell_length_a 5.8522
_cell_length_b 5.8522
_cell_length_c 14.3978
_cell_angle_alpha 90.00
_cell_angle_beta 90.00
_cell_angle_gamma 120.00
loop_
_atom_site_label
_atom_site_type_symbol
_atom_site_fract_x
_atom_site_fract_y
_atom_site_fract_z
Ba1 Ba 0.0000 0.0000 0.2492
Ba2 Ba 0.3333 0.6667 0.5863
Ba3 Ba 0.3333 0.6667 0.9149
Zn1 Zn 0.0000 0.0000 0.0000
Zn2 Zn 0.0000 0.0000 0.5000
Ir1 Ir 0.3333 0.6667 0.1591
Ru1 Ru 0.3333 0.6667 0.3433
O1 O 0.0261 0.5130 0.2502
O2 O 0.1716 0.3433 0.0839
O3 O 0.1722 0.3444 0.4159
```

Computed properties:
**Calculated volume**: 427.03 Å³/cell
**Calculated total energy**: -6.4077 eV/atom
**Formation energy (no corrections)**: -1754 meV/atom
**D(E_F)**: 0.32 states/eV/atom

***

Record 6
Density functional theory data (PBE) for an optimized crystal structure of Li3In2Ga2Ag4.

CIF file:
```
data_Li3In2Ga2Ag4
_space_group_name_H-M_alt 'P -3 m 1'
_space_group_IT_number 164
_space_group_name_Hall '-P 3 2"'
_cell_length_a 4.6360
_cell_length_b 4.6360
_cell_length_c 10.8616
_cell_angle_alpha 90.00
_cell_angle_beta 90.00
_cell_angle_gamma 120.00
loop_
_atom_site_label
_atom_site_type_symbol
_atom_site_fract_x
_atom_site_fract_y
_atom_site_fract_z
Li1 Li 0.0000 0.0000 0.0000
Li2 Li 0.0000 0.0000 0.2686
In1 In 0.3333 0.6667 0.5730
Ga1 Ga 0.3333 0.6667 0.0757
Ag1 Ag 0.3333 0.6667 0.3138
Ag2 Ag 0.3333 0.6667 0.8341
```

Computed properties:
**Calculated volume**: 202.17 Å³/cell
**Energy of formation from the pure elements**: -216 kJ/mol of formula units
**Calculated total energy**: -2.8106 eV/atom
**D(E_F)**: 0.19 states/eV/atom

***

Record 7
Density functional theory data (PBE) for an optimized crystal structure of CaCo2As.

CIF file:
```
data_CaCo2As
_space_group_name_H-M_alt 'R 3 m'
_space_group_IT_number 160
_space_group_name_Hall 'R 3 -2"'
_cell_length_a 4.0015
_cell_length_b 4.0015
_cell_length_c 15.3720
_cell_angle_alpha 90.00
_cell_angle_beta 90.00
_cell_angle_gamma 120.00
loop_
_atom_site_label
_atom_site_type_symbol
_atom_site_fract_x
_atom_site_fract_y
_atom_site_fract_z
Ca1 Ca 0.0000 0.0000 0.0000
Co1 Co 0.0000 0.0000 0.4794
Co2 Co 0.0000 0.0000 0.8035
As1 As 0.0000 0.0000 0.1995
```

Computed properties:
**Calculated volume**: 213.15 Å³/cell
**Energy of formation from the pure elements**: -130 kJ/mol of formula units
**Calculated total energy**: -5.5528 eV/atom
**D(E_F)**: 0.56 states/eV/atom

***

Record 8
Density functional theory data (PBE) for an optimized crystal structure of Eu2HoNi.

CIF file:
```
data_Eu2HoNi
_space_group_name_H-M_alt 'R -3 m'
_space_group_IT_number 166
_space_group_name_Hall '-R 3 2"'
_cell_length_a 3.6756
_cell_length_b 3.6756
_cell_length_c 31.6766
_cell_angle_alpha 90.00
_cell_angle_beta 90.00
_cell_angle_gamma 120.00
loop_
_atom_site_label
_atom_site_type_symbol
_atom_site_fract_x
_atom_site_fract_y
_atom_site_fract_z
Eu1 Eu 0.0000 0.0000 0.1089
Ho1 Ho 0.0000 0.0000 0.0000
Ni1 Ni 0.0000 0.0000 0.5000
```

Computed properties:
**Calculated volume**: 370.61 Å³/cell
**Energy of formation from the pure elements**: 88 kJ/mol of formula units
**Calculated total energy**: -7.4979 eV/atom
**D(E_F)**: 2.67 states/eV/atom

***

Record 9
Density functional theory data (PBE) for an optimized crystal structure of Er5Zn2Ga.

CIF file:
```
data_Er5Zn2Ga
_space_group_name_H-M_alt 'I 4/m c m'
_space_group_IT_number 140
_space_group_name_Hall '-I 4 2c'
_cell_length_a 7.3177
_cell_length_b 7.3177
_cell_length_c 14.8503
_cell_angle_alpha 90.00
_cell_angle_beta 90.00
_cell_angle_gamma 90.00
loop_
_atom_site_label
_atom_site_type_symbol
_atom_site_fract_x
_atom_site_fract_y
_atom_site_fract_z
Er1 Er 0.0000 0.0000 0.0000
Er2 Er 0.1690 0.3310 0.1512
Zn1 Zn 0.1214 0.3786 0.5000
Ga1 Ga 0.0000 0.0000 0.2500
```

Computed properties:
**Calculated volume**: 795.23 Å³/cell
**Energy of formation from the pure elements**: -247 kJ/mol of formula units
**Calculated total energy**: -3.8685 eV/atom
**D(E_F)**: 0.73 states/eV/atom

***

Record 10
Density functional theory data (PBE) for an optimized crystal structure of Ac8In3N.

CIF file:
```
data_Ac8In3N
_space_group_name_H-M_alt 'I 4/m m m'
_space_group_IT_number 139
_space_group_name_Hall '-I 4 2'
_cell_length_a 7.6431
_cell_length_b 7.6431
_cell_length_c 15.3398
_cell_angle_alpha 90.00
_cell_angle_beta 90.00
_cell_angle_gamma 90.00
loop_
_atom_site_label
_atom_site_type_symbol
_atom_site_fract_x
_atom_site_fract_y
_atom_site_fract_z
Ac1 Ac 0.2325 0.2325 0.1148
In1 In 0.0000 0.0000 0.5000
In2 In 0.0000 0.5000 0.2500
N1 N 0.0000 0.0000 0.0000
```

Computed properties:
**Calculated volume**: 896.10 Å³/cell
**Calculated total energy**: -4.1421 eV/atom
**Formation energy (no corrections)**: -25 meV/atom
**D(E_F)**: 1.01 states/eV/atom

***

Record 11
Density functional theory data (PBE) for an optimized crystal structure of RbBi2S4.

CIF file:
```
data_RbBi2S4
_space_group_name_H-M_alt 'I -4 2 d'
_space_group_IT_number 122
_space_group_name_Hall 'I -4 2bw'
_cell_length_a 9.3082
_cell_length_b 9.3082
_cell_length_c 9.6127
_cell_angle_alpha 90.00
_cell_angle_beta 90.00
_cell_angle_gamma 90.00
loop_
_atom_site_label
_atom_site_type_symbol
_atom_site_fract_x
_atom_site_fract_y
_atom_site_fract_z
Rb1 Rb 0.0000 0.0000 0.0000
Bi1 Bi 0.0389 0.2500 0.6250
S1 S 0.0604 0.1696 0.3382
```

Computed properties:
**Calculated volume**: 832.88 Å³/cell
**Calculated total energy**: -4.0039 eV/atom
**Excess energy over the best structure of this formula in the dataset**: 43 meV/atom
**Formation energy (no corrections)**: -398 meV/atom
**D(E_F)**: 0.71 states/eV/atom